(1)
First-principles (PBE-GGA) data for a relaxed structure of Sr2ZnBi, as listed in Alexandria via LeMat-Bulk.

Computed properties:
- electronic total energy (eV per atom) = -2.68
- crystal system = tetragonal
- space-group type = P4/mmm (123)

a b c (Å): 4.460 5.451 5.451
angles (deg): 90.00 90.00 90.00
Atoms (fractional coordinates):
Sr: 0.000 0.500 0.000
Sr: 0.000 0.000 0.500
Zn: 0.500 0.000 0.000
Bi: 0.500 0.500 0.500

=====

(2)
First-principles (PBE-GGA) data for a relaxed structure of SrZnBi3, as listed in Alexandria via LeMat-Bulk.

Computed properties:
- electronic total energy (eV per atom) = -3.19
- crystal system = monoclinic
- space-group type = Pc (7)

a b c (Å): 6.655 7.026 6.944
angles (deg): 89.98 90.07 90.00
Atoms (fractional coordinates):
Bi: 0.978 0.483 0.950
Bi: 0.979 0.483 0.452
Bi: 0.839 0.084 0.700
Bi: 0.479 0.870 0.952
Bi: 0.339 0.269 0.200
Bi: 0.478 0.870 0.450
Zn: 0.627 0.557 0.202
Zn: 0.127 0.796 0.702
Sr: 0.954 0.950 0.200
Sr: 0.455 0.403 0.701

=====

(3)
First-principles (PBE-GGA) data for a relaxed structure of SrZn3Bi, as listed in Alexandria via LeMat-Bulk.

Computed properties:
- electronic total energy (eV per atom) = -1.05
- crystal system = cubic
- space-group type = Pm-3m (221)

a b c (Å): 5.675 5.675 5.675
angles (deg): 90.00 90.00 90.00
Atoms (fractional coordinates):
Zn: 0.000 0.500 0.000
Zn: 0.500 0.000 0.000
Zn: 0.000 0.000 0.500
Sr: 0.000 0.000 0.000
Bi: 0.500 0.500 0.500

=====

(4)
First-principles (PBE-GGA) data for a relaxed structure of SrZn3Bi, as listed in Alexandria via LeMat-Bulk.

Computed properties:
- electronic total energy (eV per atom) = -1.59
- crystal system = cubic
- space-group type = Pm-3m (221)

a b c (Å): 5.478 5.478 5.478
angles (deg): 90.00 90.00 90.00
Atoms (fractional coordinates):
Sr: 0.500 0.500 0.500
Zn: 0.000 0.500 0.000
Zn: 0.500 0.000 0.000
Zn: 0.000 0.000 0.500
Bi: 0.000 0.000 0.000

=====

(5)
First-principles (PBE-GGA) data for a relaxed structure of Sr2Zn2Bi3, as listed in Alexandria via LeMat-Bulk.

Computed properties:
- electronic total energy (eV per atom) = -2.96
- crystal system = orthorhombic
- space-group type = Cmcm (63)

a b c (Å): 5.211 7.131 11.739
angles (deg): 90.00 102.82 90.00
Atoms (fractional coordinates):
Bi: 0.212 0.750 0.424
Bi: 0.581 0.018 0.163
Bi: 0.419 0.982 0.837
Bi: 0.419 0.518 0.837
Bi: 0.788 0.250 0.576
Bi: 0.581 0.482 0.163
Sr: 0.839 0.750 0.678
Sr: 0.161 0.250 0.322
Sr: 0.971 0.250 0.942
Sr: 0.029 0.750 0.058
Zn: 0.298 0.055 0.596
Zn: 0.702 0.555 0.404
Zn: 0.298 0.445 0.596
Zn: 0.702 0.945 0.404

=====

(6)
First-principles (PBE-GGA) data for a relaxed structure of SrZn2Bi2, as listed in Alexandria via LeMat-Bulk.

Computed properties:
- electronic total energy (eV per atom) = -2.69
- crystal system = tetragonal
- space-group type = I4/mmm (139)

a b c (Å): 5.074 5.074 6.556
angles (deg): 67.24 67.24 90.00
Atoms (fractional coordinates):
Zn: 0.610 0.610 0.780
Zn: 0.390 0.390 0.220
Bi: 0.250 0.750 0.500
Bi: 0.750 0.250 0.500
Sr: 0.000 0.000 0.000

=====

(7)
First-principles (PBE-GGA) data for a relaxed structure of Sr3Zn3Bi, as listed in Alexandria via LeMat-Bulk.

Computed properties:
- electronic total energy (eV per atom) = -2.23
- crystal system = hexagonal
- space-group type = P6_3/m (176)

a b c (Å): 4.708 10.384 10.384
angles (deg): 120.00 90.00 90.00
Atoms (fractional coordinates):
Zn: 0.250 0.872 0.036
Zn: 0.750 0.036 0.164
Zn: 0.250 0.164 0.128
Zn: 0.750 0.128 0.964
Zn: 0.250 0.964 0.836
Zn: 0.750 0.836 0.872
Bi: 0.250 0.667 0.333
Bi: 0.750 0.333 0.667
Sr: 0.250 0.590 0.694
Sr: 0.750 0.694 0.104
Sr: 0.250 0.306 0.896
Sr: 0.750 0.410 0.306
Sr: 0.250 0.104 0.410
Sr: 0.750 0.896 0.590

=====

(8)
First-principles (PBE-GGA) data for a relaxed structure of Sr3ZrBi, as listed in Alexandria via LeMat-Bulk.

Computed properties:
- electronic total energy (eV per atom) = -3.09
- crystal system = cubic
- space-group type = Pm-3m (221)

a b c (Å): 6.316 6.316 6.316
angles (deg): 90.00 90.00 90.00
Last column: magnetic moment on the atom in μB.
Atoms (fractional coordinates):
Sr: 0.500 0.000 0.000  0.08
Sr: 0.000 0.500 0.000  0.08
Sr: 0.000 0.000 0.500  0.08
Zr: 0.500 0.500 0.500  1.69
Bi: 0.000 0.000 0.000  0.08

=====

(9)
First-principles (PBE-GGA) data for a relaxed structure of SrZr2Bi2, as listed in Alexandria via LeMat-Bulk.

Computed properties:
- electronic total energy (eV per atom) = -5.72
- crystal system = tetragonal
- space-group type = I4/mmm (139)

a b c (Å): 4.486 4.486 8.102
angles (deg): 73.93 73.93 90.00
Atoms (fractional coordinates):
Bi: 0.387 0.387 0.225
Bi: 0.613 0.613 0.775
Sr: 0.000 0.000 0.000
Zr: 0.750 0.250 0.500
Zr: 0.250 0.750 0.500

=====

(10)
First-principles (PBE-GGA) data for a relaxed structure of SrZrBi2, as listed in Alexandria via LeMat-Bulk.

Computed properties:
- electronic total energy (eV per atom) = -4.78
- crystal system = cubic
- space-group type = Fm-3m (225)

a b c (Å): 5.504 5.504 5.504
angles (deg): 60.00 60.00 60.00
Last column: magnetic moment on the atom in μB.
Atoms (fractional coordinates):
Bi: 0.750 0.750 0.750  -0.06
Bi: 0.250 0.250 0.250  -0.06
Sr: 0.000 0.000 0.000  0.03
Zr: 0.500 0.500 0.500  0.46

=====

(11)
First-principles (PBE-GGA) data for a relaxed structure of SrZr2Bi2, as listed in Alexandria via LeMat-Bulk.

Computed properties:
- electronic total energy (eV per atom) = -5.48
- crystal system = tetragonal
- space-group type = P4/mbm (127)

a b c (Å): 8.664 8.664 3.757
angles (deg): 90.00 90.00 90.00
Atoms (fractional coordinates):
Zr: 0.620 0.120 0.000
Zr: 0.880 0.620 0.000
Zr: 0.120 0.380 0.000
Zr: 0.380 0.880 0.000
Sr: 0.000 0.000 0.000
Sr: 0.500 0.500 0.000
Bi: 0.668 0.832 0.500
Bi: 0.332 0.168 0.500
Bi: 0.832 0.332 0.500
Bi: 0.168 0.668 0.500

=====

(12)
First-principles (PBE-GGA) data for a relaxed structure of SrZrBi2, as listed in Alexandria via LeMat-Bulk.

Computed properties:
- electronic total energy (eV per atom) = -4.78
- crystal system = tetragonal
- space-group type = I-42d (122)

a b c (Å): 8.475 8.475 7.027
angles (deg): 52.91 52.91 90.00
Atoms (fractional coordinates):
Sr: 0.250 0.750 0.500
Sr: 0.500 0.500 0.000
Bi: 0.095 0.625 0.250
Bi: 0.375 0.345 0.750
Bi: 0.655 0.125 0.250
Bi: 0.875 0.905 0.750
Zr: 0.750 0.250 0.500
Zr: 0.000 0.000 0.000

=====

(13)
First-principles (PBE-GGA) data for a relaxed structure of Sr3ZrBi, as listed in Alexandria via LeMat-Bulk.

Computed properties:
- electronic total energy (eV per atom) = -2.82
- crystal system = cubic
- space-group type = Pm-3m (221)

a b c (Å): 6.040 6.040 6.040
angles (deg): 90.00 90.00 90.00
Last column: magnetic moment on the atom in μB.
Atoms (fractional coordinates):
Sr: 0.000 0.500 0.000  0.13
Sr: 0.000 0.000 0.500  0.12
Sr: 0.500 0.000 0.000  0.09
Bi: 0.500 0.500 0.500  0.05
Zr: 0.000 0.000 0.000  1.27

=====

(14)
First-principles (PBE-GGA) data for a relaxed structure of Sr2ZrBi, as listed in Alexandria via LeMat-Bulk.

Computed properties:
- electronic total energy (eV per atom) = -3.65
- crystal system = tetragonal
- space-group type = I-42d (122)

a b c (Å): 9.433 9.433 7.426
angles (deg): 50.57 50.57 90.00
Last column: magnetic moment on the atom in μB.
Atoms (fractional coordinates):
Bi: 0.750 0.250 0.500  -0.04
Bi: 0.000 0.000 0.000  -0.04
Sr: 0.099 0.625 0.250  0.07
Sr: 0.875 0.901 0.750  0.07
Sr: 0.375 0.349 0.750  0.07
Sr: 0.651 0.125 0.250  0.07
Zr: 0.250 0.750 0.500  0.97
Zr: 0.500 0.500 0.000  0.97

=====

(15)
First-principles (PBE-GGA) data for a relaxed structure of SrZrBi2, as listed in Alexandria via LeMat-Bulk.

Computed properties:
- electronic total energy (eV per atom) = -5.06
- crystal system = trigonal
- space-group type = R-3m (166)

a b c (Å): 4.389 4.389 8.194
angles (deg): 74.47 74.47 60.00
Atoms (fractional coordinates):
Sr: 0.500 0.500 0.500
Bi: 0.261 0.261 0.216
Bi: 0.739 0.739 0.784
Zr: 0.000 0.000 0.000

=====

(16)
First-principles (PBE-GGA) data for a relaxed structure of Sr2ZrBi, as listed in Alexandria via LeMat-Bulk.

Computed properties:
- electronic total energy (eV per atom) = -3.80
- crystal system = cubic
- space-group type = Fm-3m (225)

a b c (Å): 5.805 5.805 5.805
angles (deg): 60.00 60.00 60.00
Last column: magnetic moment on the atom in μB.
Atoms (fractional coordinates):
Sr: 0.250 0.250 0.250  0.13
Sr: 0.750 0.750 0.750  0.13
Zr: 0.000 0.000 0.000  1.58
Bi: 0.500 0.500 0.500  -0.07

=====

(17)
First-principles (PBE-GGA) data for a relaxed structure of SrZrBi2, as listed in Alexandria via LeMat-Bulk.

Computed properties:
- electronic total energy (eV per atom) = -4.95
- crystal system = tetragonal
- space-group type = P4/mmm (123)

a b c (Å): 3.746 3.746 8.409
angles (deg): 90.00 90.00 90.00
Atoms (fractional coordinates):
Zr: 0.500 0.500 0.000
Bi: 0.000 0.000 0.215
Bi: 0.000 0.000 0.785
Sr: 0.500 0.500 0.500

=====

(18)
First-principles (PBE-GGA) data for a relaxed structure of SrZrBi2, as listed in Alexandria via LeMat-Bulk.

Computed properties:
- electronic total energy (eV per atom) = -5.02
- crystal system = trigonal
- space-group type = R3m (160)

a b c (Å): 4.375 4.375 8.336
angles (deg): 74.79 74.79 60.00
Atoms (fractional coordinates):
Bi: 0.071 0.071 0.786
Bi: 0.262 0.262 0.214
Zr: 0.668 0.668 0.995
Sr: 0.498 0.498 0.506

=====

(19)
First-principles (PBE-GGA) data for a relaxed structure of SrZrBi, as listed in Alexandria via LeMat-Bulk.

Computed properties:
- electronic total energy (eV per atom) = -5.24
- crystal system = tetragonal
- space-group type = P4/nmm (129)

a b c (Å): 4.567 4.567 8.945
angles (deg): 90.00 90.00 90.00
Atoms (fractional coordinates):
Bi: 0.500 0.000 0.743
Bi: 0.000 0.500 0.257
Zr: 0.500 0.500 0.500
Zr: 0.000 0.000 0.500
Sr: 0.000 0.500 0.841
Sr: 0.500 0.000 0.159

=====

(20)
First-principles (PBE-GGA) data for a relaxed structure of Ta4Bi, as listed in Alexandria via LeMat-Bulk.

Computed properties:
- electronic total energy (eV per atom) = -7.82
- crystal system = cubic
- space-group type = Pm-3m (221)

a b c (Å): 5.034 5.034 5.034
angles (deg): 90.00 90.00 90.00
Atoms (fractional coordinates):
Bi: 0.500 0.500 0.500
Ta: 0.000 0.500 0.500
Ta: 0.000 0.000 0.000
Ta: 0.500 0.500 0.000
Ta: 0.500 0.000 0.500